# 1
Density functional theory data (PBE) for a relaxed NdThCd4 crystal.

Computed properties:
E above lowest polymorph: 138 meV/atom
E_form: -1.5 kcal/mol of atoms
density of states at the Fermi level: 9.35 states/eV/f.u.
volume: 28.1 Å³ per atom

The structure in POSCAR format:
```
NdThCd4
1.0
-2.197 2.197 8.722
2.197 -2.197 8.722
2.197 2.197 -8.722
Nd Th Cd
1 1 4
Direct
0.000 0.000 0.000
0.250 0.750 0.500
0.421 0.421 0.000
0.579 0.579 0.000
0.671 0.171 0.500
0.829 0.329 0.500
```

=====

# 2
Density functional theory data (PBE) for a relaxed TaFe2Co crystal.

Computed properties:
E_form: 0.8 kcal/mol of atoms
density of states at the Fermi level: 3.37 states/eV/f.u.
volume: 13.1 Å³ per atom

The structure in POSCAR format:
```
TaFe2Co
1.0
2.639 0.000 0.000
0.000 4.105 0.000
-0.983 0.000 4.830
Ta Fe Co
1 2 1
Direct
0.000 0.000 0.000
0.256 0.500 0.735
0.744 0.500 0.265
0.500 0.000 0.500
```

=====

# 3
Density functional theory data (PBE) for a relaxed IrRuCl2 crystal.

Computed properties:
E above lowest polymorph: 1067 meV/atom
density of states at the Fermi level: 5.85 states/eV/f.u.
formation energy from raw total energies: 1.113 eV per atom
volume: 19.9 Å³ per atom

The structure in POSCAR format:
```
IrRuCl2
1.0
-2.719 2.719 5.373
2.719 -2.719 5.373
2.719 2.719 -5.373
Ir Ru Cl
2 2 4
Direct
0.000 0.000 0.000
0.750 0.250 0.500
0.250 0.750 0.500
0.500 0.500 0.000
0.130 0.625 0.005
0.375 0.380 0.505
0.620 0.125 0.995
0.875 0.870 0.495
```

=====

# 4
Density functional theory data (PBE) for a relaxed CrOsPb2 crystal.

Computed properties:
E above lowest polymorph: 471 meV/atom
E_form: 20.1 kcal/mol of atoms
density of states at the Fermi level: 3.23 states/eV/f.u.
volume: 20.5 Å³ per atom

The structure in POSCAR format:
```
CrOsPb2
1.0
3.341 0.000 0.000
0.000 3.341 0.000
0.000 0.000 7.331
Cr Os Pb
1 1 2
Direct
0.000 0.000 0.000
0.000 0.000 0.500
0.500 0.500 0.266
0.500 0.500 0.734
```

=====

# 5
Density functional theory data (PBE) for a relaxed Ac3Pr7Er2 crystal.

Computed properties:
E_form: 4.9 kcal/mol of atoms
density of states at the Fermi level: 18.66 states/eV/f.u.
volume: 39.3 Å³ per atom

The structure in POSCAR format:
```
Ac3Pr7Er2
1.0
3.803 0.000 0.000
0.000 5.886 0.000
-1.905 0.000 21.084
Ac Pr Er
3 7 2
Direct
0.000 0.000 0.000
0.323 0.500 0.649
0.677 0.500 0.351
0.089 0.500 0.178
0.219 0.000 0.436
0.428 0.000 0.858
0.500 0.500 0.000
0.572 0.000 0.142
0.781 0.000 0.564
0.911 0.500 0.822
0.141 0.000 0.280
0.859 0.000 0.720
```

=====

# 6
Density functional theory data (PBE) for a relaxed PmNd2Th3Se6 crystal.

Computed properties:
density of states at the Fermi level: 9.12 states/eV/f.u.
formation energy from raw total energies: -1.672 eV per atom
volume: 26.4 Å³ per atom

The structure in POSCAR format:
```
PmNd2Th3Se6
1.0
9.249 -2.106 0.000
9.249 2.106 0.000
-2.179 0.000 8.128
Pm Nd Th Se
1 2 3 6
Direct
0.000 0.000 0.000
0.333 0.333 0.667
0.667 0.667 0.333
0.000 0.000 0.500
0.333 0.333 0.166
0.667 0.667 0.834
0.165 0.165 0.083
0.167 0.167 0.583
0.500 0.500 0.247
0.500 0.500 0.753
0.833 0.833 0.417
0.835 0.835 0.917
```

=====

# 7
Density functional theory data (PBE) for a relaxed YMo2W crystal.

Computed properties:
E above lowest polymorph: 374 meV/atom
E_form: 14.8 kcal/mol of atoms
density of states at the Fermi level: 4.64 states/eV/f.u.
volume: 19.1 Å³ per atom

The structure in POSCAR format:
```
YMo2W
1.0
2.945 0.000 0.000
0.000 4.469 0.000
0.000 0.000 5.803
Y Mo W
1 2 1
Direct
0.000 0.000 0.000
0.000 0.000 0.501
0.500 0.500 0.283
0.500 0.500 0.694
```

=====

# 8
Density functional theory data (PBE) for a relaxed CuPtAu2 crystal.

Computed properties:
E above lowest polymorph: 44 meV/atom
E_form: -0.1 kcal/mol of atoms
density of states at the Fermi level: 1.41 states/eV/f.u.
volume: 16.1 Å³ per atom

The structure in POSCAR format:
```
CuPtAu2
1.0
-1.475 2.344 4.657
1.475 -2.344 4.657
1.475 2.344 -4.657
Cu Pt Au
1 1 2
Direct
0.000 0.000 0.000
0.768 0.268 0.500
0.240 0.740 0.500
0.506 0.506 0.000
```

=====

# 9
Density functional theory data (PBE) for a relaxed CaY6S8 crystal.

Computed properties:
density of states at the Fermi level: 3.92 states/eV/f.u.
formation energy from raw total energies: -2.067 eV per atom
volume: 22.7 Å³ per atom

The structure in POSCAR format:
```
CaY6S8
1.0
0.000 5.538 5.538
5.538 0.000 5.538
5.538 5.538 0.000
Ca Y S
1 6 8
Direct
0.000 0.000 0.000
0.000 0.000 0.500
0.000 0.500 0.000
0.000 0.500 0.500
0.500 0.000 0.000
0.500 0.000 0.500
0.500 0.500 0.000
0.250 0.250 0.250
0.251 0.251 0.749
0.251 0.749 0.251
0.251 0.749 0.749
0.749 0.251 0.251
0.749 0.251 0.749
0.749 0.749 0.251
0.750 0.750 0.750
```

=====

# 10
Density functional theory data (PBE) for a relaxed Tc2B2Mo crystal.

Computed properties:
E above lowest polymorph: 0 meV/atom
E_form: -5.6 kcal/mol of atoms
density of states at the Fermi level: 3.46 states/eV/f.u.
volume: 11.2 Å³ per atom

The structure in POSCAR format:
```
Tc2B2Mo
1.0
6.171 0.000 0.000
0.000 6.171 0.000
0.000 0.000 2.938
Tc B Mo
4 4 2
Direct
0.155 0.345 0.000
0.345 0.845 0.000
0.655 0.155 0.000
0.845 0.655 0.000
0.137 0.637 0.500
0.363 0.137 0.500
0.637 0.863 0.500
0.863 0.363 0.500
0.000 0.000 0.500
0.500 0.500 0.500
```

=====

# 11
Density functional theory data (PBE) for a relaxed Zn2PbAu2 crystal.

Computed properties:
E above lowest polymorph: 51 meV/atom
E_form: -2.1 kcal/mol of atoms
density of states at the Fermi level: 1.89 states/eV/f.u.
volume: 19.3 Å³ per atom

The structure in POSCAR format:
```
Zn2PbAu2
1.0
7.944 0.000 0.000
0.000 7.944 0.000
0.000 0.000 3.052
Zn Pb Au
4 2 4
Direct
0.121 0.379 0.000
0.379 0.879 0.000
0.621 0.121 0.000
0.879 0.621 0.000
0.000 0.000 0.000
0.500 0.500 0.000
0.173 0.673 0.500
0.327 0.173 0.500
0.673 0.827 0.500
0.827 0.327 0.500
```

=====

# 12
Density functional theory data (PBE) for a relaxed Cs4In3SnBr12 crystal.

Computed properties:
density of states at the Fermi level: 5.03 states/eV/f.u.
formation energy from raw total energies: -1.200 eV per atom
volume: 38.9 Å³ per atom

The structure in POSCAR format:
```
Cs4In3SnBr12
1.0
-5.793 5.793 5.793
5.793 -5.793 5.793
5.793 5.793 -5.793
Cs In Sn Br
4 3 1 12
Direct
0.000 0.000 0.500
0.000 0.500 0.000
0.500 0.000 0.000
0.500 0.500 0.500
0.000 0.500 0.500
0.500 0.000 0.500
0.500 0.500 0.000
0.000 0.000 0.000
0.000 0.252 0.252
0.000 0.748 0.748
0.250 0.500 0.750
0.250 0.750 0.500
0.252 0.000 0.252
0.252 0.252 0.000
0.500 0.250 0.750
0.500 0.750 0.250
0.748 0.000 0.748
0.748 0.748 0.000
0.750 0.250 0.500
0.750 0.500 0.250
```

=====

# 13
Density functional theory data (PBE) for a relaxed Li2NpO4 crystal.

Computed properties:
E above lowest polymorph: 0 meV/atom
density of states at the Fermi level: 2.33 states/eV/f.u.
formation energy from raw total energies: -2.538 eV per atom
volume: 13.0 Å³ per atom

The structure in POSCAR format:
```
Li2NpO4
1.0
5.444 -1.736 0.000
5.444 1.736 0.000
-1.546 0.000 4.813
Li Np O
2 1 4
Direct
0.160 0.160 0.057
0.840 0.840 0.943
0.500 0.500 0.500
0.075 0.075 0.345
0.356 0.356 0.160
0.644 0.644 0.840
0.925 0.925 0.655
```

=====

# 14
Density functional theory data (PBE) for a relaxed GdLuCdIr crystal.

Computed properties:
E_form: -12.7 kcal/mol of atoms
density of states at the Fermi level: 2.32 states/eV/f.u.
volume: 22.2 Å³ per atom

The structure in POSCAR format:
```
GdLuCdIr
1.0
0.000 3.543 3.543
3.543 0.000 3.543
3.543 3.543 0.000
Gd Lu Cd Ir
1 1 1 1
Direct
0.000 0.000 0.000
0.500 0.500 0.500
0.250 0.250 0.250
0.750 0.750 0.750
```

=====

# 15
Density functional theory data (PBE) for a relaxed Si2AgPt crystal.

Computed properties:
E above lowest polymorph: 19 meV/atom
density of states at the Fermi level: 0.97 states/eV/f.u.
formation energy from raw total energies: -0.105 eV per atom
volume: 17.0 Å³ per atom

The structure in POSCAR format:
```
Si2AgPt
1.0
3.246 0.000 0.000
0.000 4.767 0.000
-1.595 0.000 4.402
Si Ag Pt
2 1 1
Direct
0.000 0.000 0.000
0.403 0.500 0.793
0.285 0.000 0.558
0.103 0.500 0.201
```

=====

# 16
Density functional theory data (PBE) for a relaxed Pm3TlCo crystal.

Computed properties:
E above lowest polymorph: 82 meV/atom
E_form: -0.9 kcal/mol of atoms
density of states at the Fermi level: 4.88 states/eV/f.u.
volume: 29.3 Å³ per atom

The structure in POSCAR format:
```
Pm3TlCo
1.0
6.224 -3.600 0.000
6.224 3.600 0.000
-4.146 0.000 6.528
Pm Tl Co
6 2 2
Direct
0.089 0.089 0.267
0.089 0.589 0.268
0.411 0.911 0.732
0.589 0.089 0.268
0.911 0.411 0.732
0.911 0.911 0.733
0.400 0.400 0.699
0.600 0.600 0.301
0.171 0.171 0.012
0.829 0.829 0.988
```

=====

# 17
Density functional theory data (PBE) for a relaxed Ge2BrF crystal.

Computed properties:
E above lowest polymorph: 0 meV/atom
density of states at the Fermi level: 0.35 states/eV/f.u.
formation energy from raw total energies: -0.524 eV per atom
volume: 23.0 Å³ per atom

The structure in POSCAR format:
```
Ge2BrF
1.0
-2.379 2.379 8.116
2.379 -2.379 8.116
2.379 2.379 -8.116
Ge Br F
4 2 2
Direct
0.375 0.247 0.372
0.753 0.125 0.128
0.875 0.003 0.628
0.997 0.625 0.872
0.250 0.750 0.500
0.500 0.500 0.000
0.000 0.000 0.000
0.750 0.250 0.500
```

=====

# 18
Density functional theory data (PBE) for a relaxed AcSm2ZnN4 crystal.

Computed properties:
density of states at the Fermi level: 6.69 states/eV/f.u.
formation energy from raw total energies: -0.934 eV per atom
volume: 16.1 Å³ per atom

The structure in POSCAR format:
```
AcSm2ZnN4
1.0
1.792 -5.968 0.000
1.792 5.968 0.000
0.000 0.000 12.032
Ac Sm Zn N
2 4 2 8
Direct
0.104 0.896 0.750
0.896 0.104 0.250
0.369 0.631 0.550
0.369 0.631 0.950
0.631 0.369 0.050
0.631 0.369 0.450
0.162 0.838 0.250
0.838 0.162 0.750
0.000 0.000 0.000
0.000 0.000 0.500
0.268 0.732 0.121
0.268 0.732 0.379
0.438 0.562 0.750
0.562 0.438 0.250
0.732 0.268 0.621
0.732 0.268 0.879
```

=====

# 19
Density functional theory data (PBE) for a relaxed LaMnN3 crystal.

Computed properties:
density of states at the Fermi level: 2.91 states/eV/f.u.
formation energy from raw total energies: -0.603 eV per atom
volume: 14.8 Å³ per atom

The structure in POSCAR format:
```
LaMnN3
1.0
5.048 -5.184 0.000
5.048 5.184 0.000
-1.575 0.000 5.656
La Mn N
4 4 12
Direct
0.100 0.900 0.750
0.341 0.659 0.250
0.659 0.341 0.750
0.900 0.100 0.250
0.199 0.372 0.742
0.372 0.199 0.242
0.628 0.801 0.758
0.801 0.628 0.258
0.002 0.765 0.333
0.158 0.595 0.841
0.235 0.998 0.167
0.315 0.356 0.491
0.356 0.315 0.991
0.405 0.842 0.659
0.595 0.158 0.341
0.644 0.685 0.009
0.685 0.644 0.509
0.765 0.002 0.833
0.842 0.405 0.159
0.998 0.235 0.667
```

=====

# 20
Density functional theory data (PBE) for a relaxed Sn3PdS crystal.

Computed properties:
E above lowest polymorph: 0 meV/atom
density of states at the Fermi level: 2.76 states/eV/f.u.
formation energy from raw total energies: 0.101 eV per atom
volume: 27.8 Å³ per atom

The structure in POSCAR format:
```
Sn3PdS
1.0
5.178 0.000 0.000
0.000 5.178 0.000
0.000 0.000 5.178
Sn Pd S
3 1 1
Direct
0.000 0.000 0.500
0.000 0.500 0.000
0.500 0.000 0.000
0.000 0.000 0.000
0.500 0.500 0.500
```

=====

# 21
Density functional theory data (PBE) for a relaxed RbBiF6 crystal.

Computed properties:
E above lowest polymorph: 3 meV/atom
density of states at the Fermi level: 0.00 states/eV/f.u.
formation energy from raw total energies: -2.211 eV per atom
volume: 23.5 Å³ per atom

The structure in POSCAR format:
```
RbBiF6
1.0
6.097 0.000 0.000
-3.048 5.280 0.000
0.000 0.000 11.657
Rb Bi F
2 2 12
Direct
0.333 0.667 0.250
0.667 0.333 0.750
0.000 0.000 0.000
0.000 0.000 0.500
0.008 0.277 0.602
0.008 0.731 0.898
0.269 0.277 0.898
0.269 0.992 0.602
0.277 0.008 0.102
0.277 0.269 0.398
0.723 0.731 0.602
0.723 0.992 0.898
0.731 0.008 0.398
0.731 0.723 0.102
0.992 0.269 0.102
0.992 0.723 0.398
```

=====

# 22
Density functional theory data (PBE) for a relaxed Ce2TeAu crystal.

Computed properties:
E above lowest polymorph: 88 meV/atom
density of states at the Fermi level: 15.68 states/eV/f.u.
formation energy from raw total energies: -0.847 eV per atom
volume: 30.8 Å³ per atom

The structure in POSCAR format:
```
Ce2TeAu
1.0
2.135 1.233 7.810
-2.135 1.233 7.810
0.000 -2.465 7.810
Ce Te Au
2 1 1
Direct
0.000 0.000 0.000
0.182 0.182 0.182
0.424 0.424 0.424
0.592 0.592 0.592
```

=====

# 23
Density functional theory data (PBE) for a relaxed PrB3C2 crystal.

Computed properties:
E_form: 0.5 kcal/mol of atoms
density of states at the Fermi level: 1.72 states/eV/f.u.
volume: 10.0 Å³ per atom

The structure in POSCAR format:
```
PrB3C2
1.0
6.780 -1.441 0.000
6.780 1.441 0.000
-3.445 0.000 6.126
Pr B C
2 6 4
Direct
0.149 0.149 0.096
0.851 0.851 0.904
0.063 0.063 0.373
0.220 0.220 0.522
0.392 0.392 0.299
0.608 0.608 0.701
0.780 0.780 0.478
0.937 0.937 0.627
0.153 0.153 0.659
0.497 0.497 0.726
0.503 0.503 0.274
0.847 0.847 0.341
```